(1)
DFT (PBE-GGA) results for Nd4SmN4 after structural relaxation.

Computed properties:
Calculated density ... 7.5 g/cm3
Crystal system ... monoclinic

Unit cell a=6.3452 b=6.3452 c=9.0416 alpha=118.78 beta=118.78 gamma=33.32
Fractional coordinates of all 9 atoms:
Nd 0.1065 0.1065 0.3838
Nd 0.2950 0.2950 0.1877
Nd 0.7050 0.7050 0.8123
Nd 0.8935 0.8935 0.6162
Sm 0.5000 0.5000 0.0000
N 0.1025 0.1025 0.9059
N 0.3034 0.3034 0.6975
N 0.6966 0.6966 0.3025
N 0.8975 0.8975 0.0941

---

(2)
DFT (PBE-GGA) results for Nd4SmN4 after structural relaxation.

Computed properties:
Calculated density ... 6.6 g/cm3
Crystal system ... tetragonal

Unit cell a=6.9703 b=6.9703 c=6.9703 alpha=129.29 beta=129.29 gamma=74.55
Fractional coordinates of all 9 atoms:
Nd 0.0000 0.5000 0.5000
Nd 0.2129 0.2129 0.0000
Nd 0.5000 0.0000 0.5000
Nd 0.7871 0.7871 0.0000
Sm 0.5000 0.5000 0.0000
N 0.1461 0.6157 0.0000
N 0.3843 0.3843 0.5304
N 0.6157 0.1461 0.0000
N 0.8539 0.8539 0.4696

---

(3)
DFT (PBE-GGA) results for Nd3SmN4 after structural relaxation.

Computed properties:
Calculated density ... 7.8 g/cm3
Crystal system ... cubic

Unit cell a=5.1432 b=5.1432 c=5.1432 alpha=90.00 beta=90.00 gamma=90.00
Fractional coordinates of all 8 atoms:
Nd 0.0000 0.0000 0.5000
Nd 0.0000 0.5000 0.0000
Nd 0.5000 0.0000 0.0000
Sm 0.5000 0.5000 0.5000
N 0.0000 0.0000 0.0000
N 0.0000 0.5000 0.5000
N 0.5000 0.0000 0.5000
N 0.5000 0.5000 0.0000

---

(4)
DFT (PBE-GGA) results for NdSm2SnN after structural relaxation.

Computed properties:
Calculated density ... 7.9 g/cm3
Crystal system ... tetragonal

Unit cell a=4.9350 b=4.9350 c=5.0111 alpha=90.00 beta=90.00 gamma=90.00
Fractional coordinates of all 5 atoms:
Nd 0.0000 0.0000 0.0000
Sm 0.0000 0.5000 0.5000
Sm 0.5000 0.0000 0.5000
Sn 0.5000 0.5000 0.0000
N 0.0000 0.0000 0.5000

---

(5)
DFT (PBE-GGA) results for NdSmSnN3 after structural relaxation.

Computed properties:
Calculated density ... 6.8 g/cm3
Crystal system ... monoclinic

Unit cell a=6.7027 b=3.4109 c=9.7459 alpha=90.00 beta=91.87 gamma=90.00
Fractional coordinates of all 12 atoms:
Nd 0.1876 0.2500 0.2396
Nd 0.8124 0.7500 0.7604
Sm 0.3346 0.7500 0.8884
Sm 0.6654 0.2500 0.1116
Sn 0.1838 0.2500 0.5885
Sn 0.8162 0.7500 0.4115
N 0.0964 0.2500 0.8061
N 0.1601 0.7500 0.4480
N 0.3909 0.7500 0.1252
N 0.6091 0.2500 0.8748
N 0.8399 0.2500 0.5520
N 0.9036 0.7500 0.1939

---

(6)
DFT (PBE-GGA) results for Nd2SmSnN4 after structural relaxation.

Computed properties:
Calculated density ... 7.5 g/cm3
Crystal system ... orthorhombic

Unit cell a=6.2963 b=6.2963 c=12.5084 alpha=90.00 beta=90.00 gamma=146.68
Fractional coordinates of all 16 atoms:
Nd 0.1298 0.8702 0.5344
Nd 0.1298 0.8702 0.9656
Nd 0.8702 0.1298 0.0344
Nd 0.8702 0.1298 0.4656
Sm 0.3796 0.6204 0.7500
Sm 0.6204 0.3796 0.2500
Sn 0.3545 0.6455 0.2500
Sn 0.6455 0.3545 0.7500
N 0.0468 0.9532 0.7500
N 0.2289 0.7711 0.1309
N 0.2289 0.7711 0.3691
N 0.5000 0.5000 0.0000
N 0.5000 0.5000 0.5000
N 0.7711 0.2289 0.6309
N 0.7711 0.2289 0.8691
N 0.9532 0.0468 0.2500

---

(7)
DFT (PBE-GGA) results for Nd2SmSnN after structural relaxation.

Computed properties:
Calculated density ... 7.7 g/cm3
Crystal system ... tetragonal

Unit cell a=5.0133 b=5.0133 c=4.9332 alpha=90.00 beta=90.00 gamma=90.00
Fractional coordinates of all 5 atoms:
Nd 0.0000 0.5000 0.0000
Nd 0.5000 0.0000 0.0000
Sm 0.0000 0.0000 0.5000
Sn 0.5000 0.5000 0.5000
N 0.0000 0.0000 0.0000

---

(8)
DFT (PBE-GGA) results for NdSmTaN3 after structural relaxation.

Computed properties:
Calculated density ... 7.6 g/cm3
Crystal system ... monoclinic

Unit cell a=7.4327 b=3.6188 c=8.4682 alpha=90.00 beta=98.53 gamma=90.00
Fractional coordinates of all 12 atoms:
Nd 0.1676 0.2500 0.1394
Nd 0.8324 0.7500 0.8606
Sm 0.3723 0.7500 0.8447
Sm 0.6277 0.2500 0.1553
Ta 0.0831 0.2500 0.6131
Ta 0.9169 0.7500 0.3869
N 0.0979 0.2500 0.8493
N 0.1709 0.7500 0.5472
N 0.3950 0.7500 0.1262
N 0.6050 0.2500 0.8738
N 0.8291 0.2500 0.4528
N 0.9021 0.7500 0.1507

---

These records have raw formation energy values of -11.20; -6.21; -11.08; -4.94; -3.82; -5.91; -4.87; -6.29 eV per formula unit, in the order they appear.